Entry from Alexandria via LeMat-Bulk: Na2CrCdO4 after structural relaxation (PBE+U).

Its volume is 96.5 Å³/f.u. For the uncorrected energy, the calculation gives -5.29 eV/atom.

It has space group P2/m (No. 10), with a = 5.665 Å, b = 3.145 Å, c = 5.761 Å, α = 90.00°, β = 109.97° and γ = 90.00°. The inequivalent atoms are Na at (0.000, 0.000, 0.000), Na at (0.500, 0.500, 0.000), Cr at (0.000, 0.500, 0.500), Cd at (0.500, 0.000, 0.500), O at (0.206, 0.000, 0.706) and O at (0.222, 0.500, 0.294).